Entry 1:
Computed, not measured: a relaxed PuPRuPt crystal at the PBE-GGA level of DFT.

```
PuPRuPt
1.0
3.968 0.000 0.000
0.000 3.968 0.000
0.000 0.000 9.240
Pu P Ru Pt
2 2 2 2
Direct
0.250 0.250 0.217
0.750 0.750 0.783
0.250 0.250 0.633
0.750 0.750 0.367
0.250 0.750 0.500
0.750 0.250 0.500
0.250 0.250 0.896
0.750 0.750 0.104
```

Its density of states at the Fermi level is 22.03 states/eV per cell. Its total energy is -0.7041 Ry per atom.



Entry 2:
Computed, not measured: a relaxed PuSn2P2Pt7 crystal at the PBE-GGA level of DFT.

```
PuSn2P2Pt7
1.0
2.792 -2.792 0.000
2.792 2.792 0.000
-2.790 0.000 15.190
Pu Sn P Pt
1 2 2 7
Direct
0.000 0.000 0.000
0.213 0.213 0.426
0.787 0.787 0.574
0.380 0.380 0.762
0.620 0.620 0.238
0.076 0.576 0.152
0.304 0.304 0.610
0.424 0.924 0.848
0.500 0.500 0.000
0.576 0.076 0.152
0.696 0.696 0.390
0.924 0.424 0.848
```

Its density of states at the Fermi level is 15.87 states/eV per cell. Its total energy is -0.5033 Ry per atom.



Entry 3:
Computed, not measured: a relaxed SrPuP2Pt4 crystal at the PBE-GGA level of DFT.

```
SrPuP2Pt4
1.0
4.064 0.000 0.000
0.000 4.064 0.000
0.000 0.000 10.138
Sr Pu P Pt
1 1 2 4
Direct
0.000 0.000 0.000
0.000 0.000 0.500
0.500 0.500 0.163
0.500 0.500 0.837
0.000 0.500 0.282
0.000 0.500 0.718
0.500 0.000 0.282
0.500 0.000 0.718
```

Its density of states at the Fermi level is 18.06 states/eV per cell. Its total energy is -0.5212 Ry per atom.



Entry 4:
Computed, not measured: a relaxed Rb2PPt3 crystal at the PBE-GGA level of DFT.

```
Rb2PPt3
1.0
1.571 -13.974 0.000
1.571 13.974 0.000
0.000 0.000 6.841
Rb P Pt
4 2 6
Direct
0.012 0.988 0.750
0.195 0.805 0.250
0.805 0.195 0.750
0.988 0.012 0.250
0.374 0.626 0.250
0.626 0.374 0.750
0.184 0.816 0.750
0.406 0.594 0.553
0.406 0.594 0.947
0.594 0.406 0.053
0.594 0.406 0.447
0.816 0.184 0.250
```

Its density of states at the Fermi level is 4.37 states/eV per cell. Its total energy is -0.3216 Ry per atom.



| no. | total moment (μB per atom) | formation energy (eV per atom) |
| --- | --- | --- |
| 1 | 1.30 | -0.8147 |
| 2 | 0.40 | -0.5611 |
| 3 | 0.66 | -0.7166 |
| 4 | 0.00 | -0.1316 |